(1)
Computed, not measured: a relaxed La2TmBi crystal at the PBE level of DFT.

Properties
Relative energy among the computed polymorphs in meV/atom: 0
VASP energy in eV/f.u.: -19.92
DFT formation energy in meV per atom: -428

Cell lengths 4.9791, 4.9791, 5.0394 Å; angles 90.00, 90.00, 90.00 degrees
Space group P4/mmm (No. 123)
Unique sites:
La: 0.0000 0.5000 0.0000
Tm: 0.0000 0.0000 0.5000
Bi: 0.5000 0.5000 0.5000

(2)
Computed, not measured: a relaxed NbInO2F crystal at the PBE level of DFT.

Properties
VASP energy in eV/f.u.: -28.30
Formation energy (no corrections) in eV/f.u.: -3.704

Cell lengths 4.2379, 4.2379, 4.1629 Å; angles 90.00, 90.00, 90.00 degrees
Space group P4/mmm (No. 123)
Unique sites:
Nb: 0.0000 0.0000 0.0000
In: 0.5000 0.5000 0.5000
O: 0.0000 0.5000 0.5000
F: 0.5000 0.5000 0.0000

(3)
Computed, not measured: a relaxed GeHSeO crystal at the PBE level of DFT.

Properties
Relative energy among the computed polymorphs in meV/atom: 276
VASP energy in eV/f.u.: -17.98

Cell lengths 3.1161, 5.1764, 4.3652 Å; angles 90.00, 96.80, 90.00 degrees
Space group Pm (No. 6)
Unique sites:
Ge: 0.0000 0.0000 0.0000
H: 0.7147 0.5000 0.8757
Se: 0.9853 0.5000 0.1809
O: 0.4561 0.0000 0.7567

(4)
Computed, not measured: a relaxed Al2TcNi crystal at the PBE level of DFT.

Properties
VASP energy in eV/f.u.: -25.08
DFT formation energy in meV per atom: -361

Cell lengths 3.5617, 3.5617, 8.4731 Å; angles 90.00, 90.00, 90.00 degrees
Space group I-4m2 (No. 119)
Unique sites:
Al: 0.0000 0.0000 0.0000
Al: 0.0000 0.5000 0.2500
Tc: 0.0000 0.0000 0.5000
Ni: 0.0000 0.5000 0.7500

- Which value of VASP energy does entry 2 give?
  -28.30 eV/f.u.